A relaxed structure of SrLa3Cu. Source: Alexandria, functional GGA-PBE.

Cell: 5.801 5.801 5.801 Å, 90.00 90.00 90.00°
Positions (direct):
Sr 0.000 0.000 0.000
La 0.000 0.500 0.500
La 0.500 0.000 0.500
La 0.500 0.500 0.000
Cu 0.500 0.500 0.500

Properties
- final energy (eV per atom) = -3.987
- formation enthalpy at 0 K (eV per atom) = 0.125

***

A relaxed structure of SrLa2Cu2. Source: Alexandria, functional GGA-PBE.

Cell: 8.490 8.490 3.977 Å, 90.00 90.00 90.00°
Positions (direct):
Sr 0.000 0.000 0.000
Sr 0.500 0.500 0.000
La 0.154 0.346 0.500
La 0.346 0.846 0.500
La 0.654 0.154 0.500
La 0.846 0.654 0.500
Cu 0.118 0.618 0.000
Cu 0.382 0.118 0.000
Cu 0.618 0.882 0.000
Cu 0.882 0.382 0.000

Properties
- final energy (eV per atom) = -3.988
- formation enthalpy at 0 K (eV per atom) = -0.043

***

A relaxed structure of SrLaCu. Source: Alexandria, functional GGA-PBE.

Cell: 4.473 3.963 12.073 Å, 90.00 90.00 90.00°
Positions (direct):
Sr 0.250 0.000 0.143
Sr 0.750 0.000 0.857
La 0.250 0.500 0.626
La 0.750 0.500 0.374
Cu 0.250 0.000 0.436
Cu 0.750 0.000 0.564

Properties
- final energy (eV per atom) = -3.616
- formation enthalpy at 0 K (eV per atom) = -0.048

***

A relaxed structure of SrLaCu2. Source: Alexandria, functional GGA-PBE.

Cell: 4.309 4.309 21.987 Å, 90.00 90.00 120.00°
Positions (direct):
Sr 0.000 0.000 0.000
Sr 0.333 0.667 0.667
Sr 0.667 0.333 0.333
La 0.000 0.000 0.500
La 0.333 0.667 0.167
La 0.667 0.333 0.833
Cu 0.000 0.000 0.243
Cu 0.000 0.000 0.757
Cu 0.333 0.667 0.423
Cu 0.333 0.667 0.910
Cu 0.667 0.333 0.090
Cu 0.667 0.333 0.577

Properties
- final energy (eV per atom) = -3.652
- formation enthalpy at 0 K (eV per atom) = 0.049

***

A relaxed structure of SrLaCu2. Source: Alexandria, functional GGA-PBE.

Cell: 4.135 4.518 6.114 Å, 90.00 109.64 90.00°
Positions (direct):
Sr 0.000 0.000 0.000
La 0.276 0.500 0.551
Cu 0.588 0.500 0.175
Cu 0.709 0.000 0.418

Properties
- final energy (eV per atom) = -3.792
- formation enthalpy at 0 K (eV per atom) = -0.092

***

A relaxed structure of SrLaCu3. Source: Alexandria, functional GGA-PBE.

Cell: 5.305 5.305 5.305 Å, 90.00 90.00 90.00°
Positions (direct):
Sr 0.000 0.000 0.000
La 0.500 0.500 0.500
Cu 0.000 0.500 0.500
Cu 0.500 0.000 0.500
Cu 0.500 0.500 0.000

Properties
- final energy (eV per atom) = -3.320
- formation enthalpy at 0 K (eV per atom) = 0.460

***

A relaxed structure of SrLaCu. Source: Alexandria, functional GGA-PBE.

Cell: 3.738 3.738 13.866 Å, 90.00 90.00 90.00°
Positions (direct):
Sr 0.000 0.000 0.000
Sr 0.500 0.500 0.500
La 0.000 0.000 0.740
La 0.500 0.500 0.240
Cu 0.000 0.000 0.353
Cu 0.500 0.500 0.853

Properties
- final energy (eV per atom) = -3.573
- formation enthalpy at 0 K (eV per atom) = -0.004

***

A relaxed structure of SrLa2Cu2. Source: Alexandria, functional GGA-PBE.

Cell: 5.015 5.015 11.743 Å, 90.00 90.00 90.00°
Positions (direct):
Sr 0.000 0.000 0.000
Sr 0.500 0.500 0.500
La 0.000 0.500 0.250
La 0.000 0.500 0.750
La 0.500 0.000 0.250
La 0.500 0.000 0.750
Cu 0.000 0.000 0.397
Cu 0.000 0.000 0.603
Cu 0.500 0.500 0.103
Cu 0.500 0.500 0.897

Properties
- final energy (eV per atom) = -3.907
- formation enthalpy at 0 K (eV per atom) = 0.039

***

A relaxed structure of SrLa2Cu2. Source: Alexandria, functional GGA-PBE.

Cell: 8.738 8.738 3.504 Å, 90.00 90.00 90.00°
Positions (direct):
Sr 0.000 0.000 0.000
Sr 0.500 0.500 0.000
La 0.131 0.369 0.000
La 0.369 0.869 0.000
La 0.631 0.131 0.000
La 0.869 0.631 0.000
Cu 0.164 0.664 0.500
Cu 0.336 0.164 0.500
Cu 0.664 0.836 0.500
Cu 0.836 0.336 0.500

Properties
- final energy (eV per atom) = -3.920
- formation enthalpy at 0 K (eV per atom) = 0.026

***

A relaxed structure of SrLaCu2. Source: Alexandria, functional GGA-PBE.

Cell: 7.086 7.086 7.086 Å, 90.00 90.00 90.00°
Positions (direct):
Sr 0.000 0.000 0.000
Sr 0.000 0.500 0.500
Sr 0.500 0.000 0.500
Sr 0.500 0.500 0.000
La 0.250 0.250 0.250
La 0.250 0.750 0.750
La 0.750 0.250 0.750
La 0.750 0.750 0.250
Cu 0.000 0.000 0.500
Cu 0.000 0.500 0.000
Cu 0.250 0.250 0.750
Cu 0.250 0.750 0.250
Cu 0.500 0.000 0.000
Cu 0.500 0.500 0.500
Cu 0.750 0.250 0.250
Cu 0.750 0.750 0.750

Properties
- final energy (eV per atom) = -3.492
- formation enthalpy at 0 K (eV per atom) = 0.209

***

A relaxed structure of SrLaCu2. Source: Alexandria, functional GGA-PBE.

Cell: 7.397 7.397 7.397 Å, 90.00 90.00 90.00°
Positions (direct):
Sr 0.000 0.000 0.000
Sr 0.000 0.500 0.500
Sr 0.500 0.000 0.500
Sr 0.500 0.500 0.000
La 0.000 0.000 0.500
La 0.000 0.500 0.000
La 0.500 0.000 0.000
La 0.500 0.500 0.500
Cu 0.250 0.250 0.250
Cu 0.250 0.250 0.750
Cu 0.250 0.750 0.250
Cu 0.250 0.750 0.750
Cu 0.750 0.250 0.250
Cu 0.750 0.250 0.750
Cu 0.750 0.750 0.250
Cu 0.750 0.750 0.750

Properties
- final energy (eV per atom) = -3.747
- formation enthalpy at 0 K (eV per atom) = -0.047

***

A relaxed structure of SrLaCu2. Source: Alexandria, functional GGA-PBE.

Cell: 3.728 3.750 7.423 Å, 90.00 90.00 90.00°
Positions (direct):
Sr 0.000 0.000 0.000
La 0.000 0.000 0.500
Cu 0.500 0.500 0.291
Cu 0.500 0.500 0.709

Properties
- final energy (eV per atom) = -3.782
- formation enthalpy at 0 K (eV per atom) = -0.082

***

A relaxed structure of SrLaCu3. Source: Alexandria, functional GGA-PBE.

Cell: 13.884 13.884 4.352 Å, 90.00 90.00 163.23°
Positions (direct):
Sr 0.198 0.802 0.750
Sr 0.802 0.198 0.250
La 0.066 0.934 0.250
La 0.934 0.066 0.750
Cu 0.344 0.656 0.750
Cu 0.389 0.611 0.250
Cu 0.478 0.522 0.250
Cu 0.522 0.478 0.750
Cu 0.611 0.389 0.750
Cu 0.656 0.344 0.250

Properties
- final energy (eV per atom) = -3.931
- formation enthalpy at 0 K (eV per atom) = -0.151

***

A relaxed structure of SrLaCu4. Source: Alexandria, functional GGA-PBE.

Cell: 5.477 5.477 5.477 Å, 60.00 60.00 60.00°
Positions (direct):
Sr 0.000 0.000 0.000
La 0.250 0.250 0.250
Cu 0.121 0.626 0.626
Cu 0.626 0.121 0.626
Cu 0.626 0.626 0.121
Cu 0.626 0.626 0.626

Properties
- final energy (eV per atom) = -3.827
- formation enthalpy at 0 K (eV per atom) = 0.006

***

A relaxed structure of Sr3LaCu. Source: Alexandria, functional GGA-PBE.

Cell: 6.354 6.354 6.354 Å, 90.00 90.00 90.00°
Positions (direct):
Sr 0.000 0.000 0.500
Sr 0.000 0.500 0.000
Sr 0.500 0.000 0.000
La 0.000 0.000 0.000
Cu 0.500 0.500 0.500

Properties
- final energy (eV per atom) = -1.692
- formation enthalpy at 0 K (eV per atom) = 1.122

***

A relaxed structure of SrLaVCu2. Source: Alexandria, functional GGA-PBE.

Cell: 4.901 4.901 4.966 Å, 90.00 90.00 90.00°
Positions (direct):
Sr 0.000 0.000 0.000
La 0.500 0.500 0.000
V 0.000 0.000 0.500
Cu 0.000 0.500 0.500
Cu 0.500 0.000 0.500

Properties
- final energy (eV per atom) = -4.017
- formation enthalpy at 0 K (eV per atom) = 0.767

***

A relaxed structure of LaTaCu2. Source: Alexandria, functional GGA-PBE.

Cell: 3.225 3.225 7.277 Å, 90.00 90.00 90.00°
Positions (direct):
La 0.000 0.000 0.000
Ta 0.000 0.000 0.500
Cu 0.500 0.500 0.307
Cu 0.500 0.500 0.693

Properties
- final energy (eV per atom) = -6.105
- formation enthalpy at 0 K (eV per atom) = 0.138

***

A relaxed structure of La2TaCu. Source: Alexandria, functional GGA-PBE.

Cell: 3.418 3.418 29.720 Å, 90.00 90.00 120.00°
Positions (direct):
La 0.000 0.000 0.246
La 0.000 0.000 0.754
La 0.333 0.667 0.420
La 0.333 0.667 0.913
La 0.667 0.333 0.087
La 0.667 0.333 0.580
Ta 0.000 0.000 0.000
Ta 0.333 0.667 0.667
Ta 0.667 0.333 0.333
Cu 0.000 0.000 0.500
Cu 0.333 0.667 0.167
Cu 0.667 0.333 0.833

Properties
- final energy (eV per atom) = -5.962
- formation enthalpy at 0 K (eV per atom) = 0.489

***

A relaxed structure of La2TaCu. Source: Alexandria, functional GGA-PBE.

Cell: 7.129 7.129 7.129 Å, 90.00 90.00 90.00°
Positions (direct):
La 0.000 0.000 0.000
La 0.000 0.500 0.500
La 0.250 0.250 0.250
La 0.250 0.750 0.750
La 0.500 0.000 0.500
La 0.500 0.500 0.000
La 0.750 0.250 0.750
La 0.750 0.750 0.250
Ta 0.000 0.000 0.500
Ta 0.000 0.500 0.000
Ta 0.500 0.000 0.000
Ta 0.500 0.500 0.500
Cu 0.250 0.250 0.750
Cu 0.250 0.750 0.250
Cu 0.750 0.250 0.250
Cu 0.750 0.750 0.750

Properties
- final energy (eV per atom) = -5.938
- formation enthalpy at 0 K (eV per atom) = 0.513

***

A relaxed structure of LaTa2Cu2. Source: Alexandria, functional GGA-PBE.

Cell: 4.225 4.225 11.369 Å, 90.00 90.00 90.00°
Positions (direct):
La 0.000 0.000 0.000
La 0.500 0.500 0.500
Ta 0.000 0.000 0.379
Ta 0.000 0.000 0.621
Ta 0.500 0.500 0.121
Ta 0.500 0.500 0.879
Cu 0.000 0.500 0.250
Cu 0.000 0.500 0.750
Cu 0.500 0.000 0.250
Cu 0.500 0.000 0.750

Properties
- final energy (eV per atom) = -6.898
- formation enthalpy at 0 K (eV per atom) = 0.467